(1)
A relaxed structure of AlTeH2. Source: Alexandria, functional PBE-GGA.

Values from the calculation:
**Fermi-level density of states**: 7.90 states/eV/cell
**Total magnetic moment**: 0.000 Bohr magnetons per cell
**Energy above the most stable polymorph in this dataset**: 635 meV per atom
**Energy**: -2.773 eV per atom

a = 5.871 Å, b = 5.871 Å, c = 5.871 Å
α = 90.00°, β = 90.00°, γ = 90.00°
Space group Fm-3m (No. 225)
Symmetry-distinct sites (fractional):
Al1 0.000 0.000 0.000
Te1 0.000 0.000 0.500
H1 0.250 0.250 0.250



(2)
A relaxed structure of Al2TeH. Source: Alexandria, functional PBE-GGA.

Values from the calculation:
**Fermi-level density of states**: 7.01 states/eV/cell
**Total magnetic moment**: 0.000 Bohr magnetons per cell
**Energy above the most stable polymorph in this dataset**: 316 meV per atom
**Energy**: -2.978 eV per atom

a = 6.720 Å, b = 6.720 Å, c = 6.720 Å
α = 90.00°, β = 90.00°, γ = 90.00°
Space group Fm-3m (No. 225)
Symmetry-distinct sites (fractional):
Al1 0.250 0.250 0.250
Te1 0.000 0.000 0.000
H1 0.000 0.000 0.500



(3)
A relaxed structure of Al3TeH. Source: Alexandria, functional PBE-GGA.

Values from the calculation:
**Fermi-level density of states**: 1.77 states/eV/cell
**Total magnetic moment**: 0.000 Bohr magnetons per cell
**Energy**: -3.208 eV per atom

a = 4.416 Å, b = 4.416 Å, c = 4.416 Å
α = 90.00°, β = 90.00°, γ = 90.00°
Space group Pm-3m (No. 221)
Symmetry-distinct sites (fractional):
Al1 0.000 0.000 0.500
Te1 0.500 0.500 0.500
H1 0.000 0.000 0.000



(4)
A relaxed structure of Al2Te3H2. Source: Alexandria, functional PBE-GGA.

Values from the calculation:
**Total magnetic moment**: 0.000 Bohr magnetons per cell
**Energy**: -3.477 eV per atom

a = 5.397 Å, b = 6.147 Å, c = 6.563 Å
α = 76.29°, β = 66.20°, γ = 83.08°
Space group P-1 (No. 2)
Symmetry-distinct sites (fractional):
Al1 0.250 0.073 0.024
Te1 0.000 0.500 0.000
Te2 0.129 0.192 0.659
H1 0.494 0.845 0.928



(5)
A relaxed structure of Al2TeH. Source: Alexandria, functional PBE-GGA.

Values from the calculation:
**Fermi-level density of states**: 5.70 states/eV/cell
**Total magnetic moment**: 0.000 Bohr magnetons per cell
**Energy above the most stable polymorph in this dataset**: 0 meV per atom
**Energy**: -3.295 eV per atom

a = 4.740 Å, b = 4.740 Å, c = 14.166 Å
α = 90.00°, β = 90.00°, γ = 90.00°
Space group I-42d (No. 122)
Symmetry-distinct sites (fractional):
Al1 0.109 0.250 0.125
Te1 0.000 0.000 0.500
H1 0.000 0.000 0.000



(6)
A relaxed structure of AlTeH3. Source: Alexandria, functional PBE-GGA.

Values from the calculation:
**Fermi-level density of states**: 2.76 states/eV/cell
**Total magnetic moment**: 0.000 Bohr magnetons per cell
**Energy above the most stable polymorph in this dataset**: 0 meV per atom
**Energy**: -2.848 eV per atom

a = 3.786 Å, b = 3.786 Å, c = 3.786 Å
α = 90.00°, β = 90.00°, γ = 90.00°
Space group Pm-3m (No. 221)
Symmetry-distinct sites (fractional):
Al1 0.000 0.000 0.000
Te1 0.500 0.500 0.500
H1 0.000 0.000 0.500



(7)
A relaxed structure of AlTeH3. Source: Alexandria, functional PBE-GGA.

Values from the calculation:
**Fermi-level density of states**: 1.74 states/eV/cell
**Total magnetic moment**: 0.000 Bohr magnetons per cell
**Energy above the most stable polymorph in this dataset**: 215 meV per atom
**Energy**: -2.633 eV per atom

a = 4.130 Å, b = 4.130 Å, c = 4.130 Å
α = 90.00°, β = 90.00°, γ = 90.00°
Space group Pm-3m (No. 221)
Symmetry-distinct sites (fractional):
Al1 0.000 0.000 0.000
Te1 0.500 0.500 0.500
H1 0.000 0.500 0.500



(8)
A relaxed structure of AlTeH2. Source: Alexandria, functional PBE-GGA.

Values from the calculation:
**Fermi-level density of states**: 7.08 states/eV/cell
**Total magnetic moment**: 0.000 Bohr magnetons per cell
**Energy above the most stable polymorph in this dataset**: 223 meV per atom
**Energy**: -3.185 eV per atom

a = 5.475 Å, b = 5.475 Å, c = 7.771 Å
α = 90.00°, β = 90.00°, γ = 90.00°
Space group I-42d (No. 122)
Symmetry-distinct sites (fractional):
Al1 0.000 0.000 0.000
Te1 0.000 0.000 0.500
H1 0.016 0.250 0.125



(9)
A relaxed structure of AlTeH2. Source: Alexandria, functional PBE-GGA.

Values from the calculation:
**Fermi-level density of states**: 0.57 states/eV/cell
**Total magnetic moment**: 0.000 Bohr magnetons per cell
**Energy above the most stable polymorph in this dataset**: 0 meV per atom
**Energy**: -3.408 eV per atom

a = 4.688 Å, b = 5.447 Å, c = 5.415 Å
α = 90.00°, β = 106.04°, γ = 90.00°
Space group P2_1/m (No. 11)
Symmetry-distinct sites (fractional):
Al1 0.010 0.250 0.005
Te1 0.120 0.750 0.527
H1 0.255 0.001 0.061



(10)
A relaxed structure of Th8Al4H11. Source: Alexandria, functional PBE-GGA.

Values from the calculation:
**Fermi-level density of states**: 32.36 states/eV/cell
**Total magnetic moment**: 0.000 Bohr magnetons per cell
**Energy**: -5.285 eV per atom

a = 7.662 Å, b = 7.662 Å, c = 19.019 Å
α = 90.00°, β = 90.00°, γ = 90.00°
Space group P-42m (No. 111)
Symmetry-distinct sites (fractional):
Th1 0.161 0.161 0.084
Th2 0.163 0.163 0.748
Th3 0.167 0.167 0.416
Th4 0.332 0.332 0.917
Th5 0.336 0.336 0.249
Th6 0.339 0.339 0.584
Al1 0.000 0.500 0.000
Al2 0.000 0.500 0.168
Al3 0.000 0.500 0.332
Al4 0.000 0.500 0.500
H1 0.128 0.128 0.209
H2 0.128 0.128 0.622
H3 0.129 0.129 0.966
H4 0.133 0.133 0.866
H5 0.369 0.369 0.367
H6 0.370 0.370 0.466
H7 0.372 0.372 0.708
H8 0.373 0.373 0.123
H9 0.500 0.500 0.000



(11)
A relaxed structure of ThAl2H6. Source: Alexandria, functional PBE-GGA.

Values from the calculation:
**Fermi-level density of states**: 17.84 states/eV/cell
**Total magnetic moment**: 0.000 Bohr magnetons per cell
**Energy**: -3.294 eV per atom

a = 7.519 Å, b = 7.519 Å, c = 7.519 Å
α = 90.00°, β = 90.00°, γ = 90.00°
Space group Fm-3m (No. 225)
Symmetry-distinct sites (fractional):
Th1 0.000 0.000 0.000
Al1 0.250 0.250 0.250
H1 0.000 0.000 0.292



(12)
A relaxed structure of ThAlH. Source: Alexandria, functional PBE-GGA.

Values from the calculation:
**Fermi-level density of states**: 2.65 states/eV/cell
**Total magnetic moment**: 0.000 Bohr magnetons per cell
**Energy above the most stable polymorph in this dataset**: 0 meV per atom
**Energy**: -5.218 eV per atom

a = 7.239 Å, b = 4.176 Å, c = 7.930 Å
α = 90.00°, β = 107.63°, γ = 90.00°
Space group C2/m (No. 12)
Symmetry-distinct sites (fractional):
Th1 0.097 0.000 0.291
Al1 0.159 0.500 0.978
H1 0.203 0.000 0.607



Repeat the eighth record exactly.
A relaxed structure of AlTeH2. Source: Alexandria, functional PBE-GGA.

Values from the calculation:
**Fermi-level density of states**: 7.08 states/eV/cell
**Total magnetic moment**: 0.000 Bohr magnetons per cell
**Energy above the most stable polymorph in this dataset**: 223 meV per atom
**Energy**: -3.185 eV per atom

a = 5.475 Å, b = 5.475 Å, c = 7.771 Å
α = 90.00°, β = 90.00°, γ = 90.00°
Space group I-42d (No. 122)
Symmetry-distinct sites (fractional):
Al1 0.000 0.000 0.000
Te1 0.000 0.000 0.500
H1 0.016 0.250 0.125